# CaY2CoO

A relaxed CaY2CoO crystal (GGA+U, Alexandria via LeMat-Bulk).

Values from the calculation:
The value obtained for the density of states at the Fermi level is 0.944 states/eV per atom. The value obtained for the electronic total energy is -5.658 eV per atom. As for the calculated volume: 24.2 A^3/atom. Its spin magnetization is 1.8 μB/f.u.

a = 4.6192 Å, b = 4.6192 Å, c = 5.6614 Å
α = 90.00°, β = 90.00°, γ = 90.00°
Sites, in units of the cell vectors:
Ca: 0.0000 0.0000 0.0000
Y: 0.0000 0.5000 0.5000
Y: 0.5000 0.0000 0.5000
Co: 0.5000 0.5000 0.0000
O: 0.5000 0.5000 0.5000